1.
Compound: PaTeN
Source: OQMD via LeMat-Bulk
Functional: PBE
Structure: optimized geometry

a b c (Å): 3.9093 3.9093 8.6773
angles (deg): 90.00 90.00 90.00
Element x y z (fractional)
N1 0.0000 0.0000 0.0000
N2 0.5000 0.5000 0.0000
Pa1 0.5000 0.0000 0.1370
Pa2 0.0000 0.5000 0.8630
Te1 0.0000 0.5000 0.3339
Te2 0.5000 0.0000 0.6661

Properties
The space group is P4/nmm, No. 129.

2.
Compound: Th3PaN6
Source: OQMD via LeMat-Bulk
Functional: PBE
Structure: optimized geometry

a b c (Å): 7.0478 7.0478 7.0478
angles (deg): 91.45 91.45 91.45
Last column: magnetic moment on the atom in μB.
Element x y z (fractional)
N1 0.9093 0.3061 0.0562  0.09
N2 0.6939 0.9438 0.0907  0.08
N3 0.4017 0.5296 0.1936  0.10
N4 0.0562 0.9093 0.3061  0.08
N5 0.5296 0.1936 0.4017  0.12
N6 0.8064 0.5983 0.4704  0.14
N7 0.1936 0.4017 0.5296  0.14
N8 0.4704 0.8064 0.5983  0.12
N9 0.9438 0.0907 0.6939  0.08
N10 0.5983 0.4704 0.8064  0.10
N11 0.3061 0.0562 0.9093  0.08
N12 0.0907 0.6939 0.9438  0.09
Pa1 0.0000 0.0000 0.0000  0.09
Pa2 0.5000 0.5000 0.5000  0.06
Th1 0.5527 0.2503 0.0574  0.02
Th2 0.0574 0.5527 0.2503  0.04
Th3 0.7497 0.9426 0.4473  0.03
Th4 0.2503 0.0574 0.5527  0.03
Th5 0.9426 0.4473 0.7497  0.04
Th6 0.4473 0.7497 0.9426  0.02

Properties
The space group is R-3, No. 148.

3.
Compound: ThPa3N6
Source: OQMD via LeMat-Bulk
Functional: PBE
Structure: optimized geometry

a b c (Å): 6.8044 6.8044 3.7099
angles (deg): 90.00 90.00 110.18
Element x y z (fractional)
N1 0.4192 0.1630 0.0000
N2 0.1630 0.4192 0.0000
N3 0.8370 0.5808 0.0000
N4 0.5808 0.8370 0.0000
N5 0.8521 0.1479 0.5000
N6 0.1479 0.8521 0.5000
Pa1 0.5000 0.5000 0.0000
Pa2 0.5000 0.0000 0.5000
Pa3 0.0000 0.5000 0.5000
Th1 0.0000 0.0000 0.0000

Properties
The space group is Cmmm, No. 65.

4.
Compound: UPaN4
Source: OQMD via LeMat-Bulk
Functional: PBE
Structure: optimized geometry

a b c (Å): 3.7679 3.7679 5.3249
angles (deg): 90.00 90.00 90.00
Element x y z (fractional)
N1 0.5000 0.0000 0.2409
N2 0.0000 0.5000 0.2409
N3 0.5000 0.0000 0.7591
N4 0.0000 0.5000 0.7591
Pa1 0.0000 0.0000 0.5000
U1 0.5000 0.5000 0.0000

Properties
The space group is P4/mmm, No. 123.

5.
Compound: U2Pa2N7
Source: OQMD via LeMat-Bulk
Functional: PBE
Structure: optimized geometry

a b c (Å): 5.3569 5.3569 5.3607
angles (deg): 90.00 90.00 92.70
Element x y z (fractional)
N1 0.5000 0.0000 0.2468
N2 0.0000 0.5000 0.2468
N3 0.5000 0.5000 0.2509
N4 0.0000 0.0000 0.5000
N5 0.5000 0.5000 0.7491
N6 0.5000 0.0000 0.7532
N7 0.0000 0.5000 0.7532
Pa1 0.2602 0.2602 0.0000
Pa2 0.7398 0.7398 0.0000
U1 0.7324 0.2676 0.5000
U2 0.2676 0.7324 0.5000

Properties
The space group is Cmmm, No. 65.

6.
Compound: Y2PaN4
Source: OQMD via LeMat-Bulk
Functional: PBE
Structure: optimized geometry

a b c (Å): 5.8736 9.7547 3.5646
angles (deg): 90.00 90.00 90.00
Last column: magnetic moment on the atom in μB.
Element x y z (fractional)
N1 0.8447 0.2022 0.0000  0.19
N2 0.3447 0.2978 0.0000  0.20
N3 0.6553 0.7022 0.0000  0.20
N4 0.1553 0.7978 0.0000  0.19
N5 0.2377 0.0410 0.5000  0.05
N6 0.7377 0.4590 0.5000  0.04
N7 0.2623 0.5410 0.5000  0.04
N8 0.7623 0.9590 0.5000  0.05
Pa1 0.0000 0.0000 0.0000  0.21
Pa2 0.5000 0.5000 0.0000  0.22
Y1 0.5611 0.1750 0.5000  0.00
Y2 0.0611 0.3250 0.5000  0.00
Y3 0.9389 0.6750 0.5000  0.00
Y4 0.4389 0.8250 0.5000  0.00

Properties
The space group is Pbam, No. 55.

7.
Compound: Y3PaN4
Source: OQMD via LeMat-Bulk
Functional: PBE
Structure: optimized geometry

a b c (Å): 5.9873 5.9873 3.4835
angles (deg): 90.00 90.00 109.20
Element x y z (fractional)
N1 0.7600 0.2400 0.0000
N2 0.2400 0.7600 0.0000
N3 0.2407 0.2407 0.5000
N4 0.7593 0.7593 0.5000
Pa1 0.0000 0.0000 0.0000
Y1 0.5000 0.5000 0.0000
Y2 0.5000 0.0000 0.5000
Y3 0.0000 0.5000 0.5000

Properties
The space group is Cmmm, No. 65.

8.
Compound: Sr2Pr5Pb3N2
Source: OQMD via LeMat-Bulk
Functional: PBE
Structure: optimized geometry

a b c (Å): 13.2110 13.2110 4.9747
angles (deg): 90.00 90.00 157.32
Element x y z (fractional)
N1 0.6011 0.3989 0.0000
N2 0.3989 0.6011 0.0000
Pb1 0.0000 0.0000 0.5000
Pb2 0.8073 0.1927 0.5000
Pb3 0.1927 0.8073 0.5000
Pr1 0.6970 0.3030 0.0000
Pr2 0.5000 0.5000 0.0000
Pr3 0.3030 0.6970 0.0000
Pr4 0.5948 0.4052 0.5000
Pr5 0.4052 0.5948 0.5000
Sr1 0.8994 0.1006 0.0000
Sr2 0.1006 0.8994 0.0000

Properties
The excess energy over the best structure of this formula in the dataset is 54 meV per atom. The space group is Cmmm, No. 65.

| no. | calculated total energy (Ha/atom) |
| --- | --- |
| 1 | -0.31389 |
| 2 | -0.35662 |
| 3 | -0.37588 |
| 4 | -0.37997 |
| 5 | -0.38641 |
| 6 | -0.34681 |
| 7 | -0.34799 |
| 8 | -0.19508 |